First-principles (PBE with a Hubbard U) data for a relaxed structure of CoSeO2F, as listed in Alexandria via LeMat-Bulk.

a b c (Å): 3.920 3.920 4.300
angles (deg): 90.00 90.00 90.00
Space group P4/mmm (No. 123)
Symmetry-distinct sites (fractional):
Co 0.000 0.000 0.000
Se 0.500 0.500 0.500
O 0.000 0.500 0.500
F 0.500 0.500 0.000

Computed properties:
For the final energy, the calculation gives -4.255 eV per atom. The calculation puts the volume at 13.22 Å³ per atom.